A plane-wave DFT calculation with SCAN was carried out for AgGeAs2Se at its PBEsol-relaxed geometry.

Values from the calculation:
**Density of states at the Fermi level**: 3.37 states/eV per cell
**Total magnetic moment**: 0.17 μB per atom
**Uncorrected formation energy**: 0.931 eV/atom
**Theoretical density**: 5.7 g cm⁻³

a b c (Å): 4.863 4.863 5.076
angles (deg): 90.00 90.00 90.00
Positions (direct):
Ge (0.500, 0.500, 0.500)
As (0.000, 0.500, 0.000)
As (0.500, 0.000, 0.000)
Ag (0.000, 0.000, 0.000)
Se (0.000, 0.000, 0.500)